{
  "formula": "CrPdF5",
  "functional": "PBE with a Hubbard U",
  "state": "optimized geometry",
  "space_group": "Immm (71)",
  "energy_ev_per_atom": -4.96,
  "lattice": [[-1.9130, 3.2617, 4.0311], [1.9130, -3.2617, 4.0311], [1.9130, 3.2617, -4.0311]],
  "species": ["Cr", "Pd", "F", "F", "F", "F", "F"],
  "fractional_positions": [[0.0000, 0.0000, 0.0000], [0.5000, 0.5000, 0.0000], [0.0000, 0.5000, 0.5000], [0.2368, 0.2368, 0.0000], [0.2989, 0.0000, 0.2989], [0.7011, 0.0000, 0.7011], [0.7632, 0.7632, 0.0000]]
}